Model w:
10
Lattice="-3.240 -0.575 -5.502 5.737 -5.932 -2.910 -2.766 -4.562 3.555" Properties=species:S:1:pos:R:3 comment="BaGaSb3, relaxed, DFT GGA-PBE" vol_a3_per_cell=353 magnetic_moment_mub_per_fu=0.00 pbc="T T T"
Ga -2.191 -7.039 -4.466
Ga -5.049 -4.163 -2.806
Sb -1.619 -6.134 1.724
Sb -0.094 -6.785 -2.803
Sb 1.224 -8.895 -0.197
Sb 2.348 -5.722 -6.766
Sb -3.096 -2.686 -3.917
Sb -0.278 -4.792 -0.688
Ba 3.146 -7.865 -3.433
Ba 0.142 -3.757 -4.569


Model x:
5
Lattice="6.276 0.000 0.000 0.000 6.276 0.000 0.000 0.000 6.276" Properties=species:S:1:pos:R:3 comment="BaGaSb3, relaxed, DFT GGA-PBE" vol_a3_per_cell=247 dos_ef_per_ev_atom=0.795 magnetic_moment_mub_per_fu=0.00 pbc="T T T"
Ga 3.138 3.138 3.138
Ba 0.000 0.000 0.000
Sb 0.000 0.000 3.138
Sb 0.000 3.138 0.000
Sb 3.138 0.000 0.000


The most stable of them is model w.


Model w:
6
Lattice="-2.968 4.958 -2.221 -4.482 -0.621 -4.440 -4.187 3.674 3.712" Properties=species:S:1:pos:R:3 comment="BaScGa, relaxed, DFT GGA-PBE" vol_a3_per_cell=175 dos_ef_per_ev_atom=0.439 magnetic_moment_mub_per_fu=0.00 pbc="T T T"
Ba -5.560 1.001 -4.493
Ba -6.894 4.742 -3.670
Sc -4.543 2.483 1.222
Sc -6.729 2.309 -1.072
Ga -3.937 3.191 -1.807
Ga -6.026 5.024 0.045


Model x:
6
Lattice="-0.263 6.513 0.321 -3.856 -0.258 2.064 1.196 -0.291 6.879" Properties=species:S:1:pos:R:3 comment="BaScGa, relaxed, DFT GGA-PBE" vol_a3_per_cell=190 dos_ef_per_ev_atom=0.310 magnetic_moment_mub_per_fu=1.01 pbc="T T T"
Ba -3.032 3.213 1.744
Ba -0.468 -0.171 6.161
Sc -2.048 -0.088 3.193
Sc -1.451 3.131 4.711
Ga 0.047 4.908 3.080
Ga 0.179 1.649 2.920


The most stable of them is model x.


Model w:
4
Lattice="3.047 2.529 4.257 -1.915 4.931 2.412 -2.038 -0.027 5.445" Properties=species:S:1:pos:R:3 comment="Ba2GaSe, relaxed, DFT GGA-PBE" vol_a3_per_cell=139 dos_ef_per_ev_atom=1.068 magnetic_moment_mub_per_fu=2.58 pbc="T T T"
Ba -0.679 5.574 9.085
Ba -0.226 1.858 3.028
Se -0.453 3.716 6.057
Ga 0.000 0.000 0.000


Model x:
8
Lattice="8.712 0.000 0.000 0.000 8.712 0.000 4.356 4.356 4.483" Properties=species:S:1:pos:R:3 comment="Ba2GaSe, relaxed, DFT GGA-PBE" vol_a3_per_cell=340 dos_ef_per_ev_atom=0.964 magnetic_moment_mub_per_fu=0.00 pbc="T T T"
Ba 1.974 6.534 1.121
Ba 6.534 6.330 3.362
Ba 6.739 2.178 1.121
Ba 10.890 11.095 3.362
Ga 4.356 4.356 0.000
Ga 4.356 8.712 2.242
Se 8.712 4.356 2.242
Se 0.000 0.000 0.000


Model y:
8
Lattice="4.643 0.000 0.000 0.000 4.647 -0.825 0.000 0.091 14.007" Properties=species:S:1:pos:R:3 comment="Ba2GaSe, relaxed, DFT GGA-PBE" vol_a3_per_cell=303 dos_ef_per_ev_atom=0.730 magnetic_moment_mub_per_fu=0.00 pbc="T T T"
Ga 1.161 2.286 12.871
Ga 3.482 2.452 0.311
Se 3.482 3.816 7.988
Se 1.161 0.922 5.193
Ba 3.482 4.402 11.290
Ba 3.482 3.238 4.734
Ba 1.161 1.500 8.447
Ba 1.161 0.336 1.891


The most stable of them is model y.